[1]
Here is a geometry-optimized Cr2Fe3H4 structure from Alexandria via LeMat-Bulk. Energies are from PBE-GGA.

Lattice parameters (Å, degrees): 2.5951 2.5951 10.5203 90.00 90.00 120.00
Last column: nearest neighbours and their distance in Å.
Atoms (fractional coordinates):
Cr 0.6667 0.3333 0.7934  6 H 1.86-1.88
Cr 0.3333 0.6667 0.2066  6 H 1.86-1.88
Fe 0.6667 0.3333 0.4089  3 H 1.82
Fe 0.0000 0.0000 0.0000  6 H 1.82
Fe 0.3333 0.6667 0.5911  3 H 1.82
H 0.3333 0.6667 0.9019  3 Fe 1.82, 3 Cr 1.88
H 0.0000 0.0000 0.3111  3 Fe 1.82, 3 Cr 1.86
H 0.0000 0.0000 0.6889  3 Fe 1.82, 3 Cr 1.86
H 0.6667 0.3333 0.0981  3 Fe 1.82, 3 Cr 1.88

VASP energy (eV/f.u.): -57.915

***

[2]
Here is a geometry-optimized ScInTc structure from Alexandria via LeMat-Bulk. Energies are from PBE-GGA.

Lattice parameters (Å, degrees): 5.3499 5.3499 5.3499 142.50 142.50 54.07
Last column: nearest neighbours and their distance in Å.
Atoms (fractional coordinates):
In 0.0109 0.0109 0.0000  4 Tc 2.87, 5 Sc 2.93-3.05
Sc 0.3178 0.3178 0.0000  4 Tc 2.80, 5 In 2.93-3.05
Tc 0.6713 0.6713 0.0000  4 Sc 2.80, 4 In 2.87

E_form (eV/atom): -0.17
Energy above the most stable polymorph in this dataset (meV/atom): 0

***

[3]
Here is a geometry-optimized CePm3Sm2 structure from Alexandria via LeMat-Bulk. Energies are from PBE-GGA.

Lattice parameters (Å, degrees): 5.1443 11.4266 8.0862 115.17 108.55 90.00
Last column: nearest neighbours and their distance in Å.
Atoms (fractional coordinates):
Ce 0.1217 0.1213 0.2434  1 Ce 3.51, 7 Sm 3.57-3.64, 4 Pm 3.59-3.63
Ce 0.8783 0.8787 0.7566  1 Ce 3.51, 7 Sm 3.57-3.64, 4 Pm 3.59-3.63
Pm 0.0415 0.3721 0.0829  1 Ce 3.59, 8 Pm 3.62-3.67, 3 Sm 3.62-3.63
Pm 0.9585 0.6279 0.9171  1 Ce 3.59, 8 Pm 3.62-3.67, 3 Sm 3.62-3.63
Pm 0.7072 0.3709 0.4144  2 Sm 3.58-3.59, 8 Pm 3.61-3.68, 2 Ce 3.62
Pm 0.2928 0.6291 0.5856  2 Sm 3.58-3.59, 8 Pm 3.61-3.68, 2 Ce 3.62
Pm 0.6270 0.6268 0.2541  8 Pm 3.61-3.67, 3 Sm 3.62-3.66, 1 Ce 3.63
Pm 0.3730 0.3732 0.7459  8 Pm 3.61-3.67, 3 Sm 3.62-3.66, 1 Ce 3.63
Sm 0.5413 0.8785 0.0825  4 Sm 3.53-3.66, 4 Ce 3.57-3.59, 4 Pm 3.59-3.66
Sm 0.4587 0.1215 0.9175  4 Sm 3.53-3.66, 4 Ce 3.57-3.59, 4 Pm 3.59-3.66
Sm 0.2101 0.8767 0.4201  5 Sm 3.58-3.66, 4 Pm 3.58-3.62, 3 Ce 3.61-3.64
Sm 0.7899 0.1233 0.5799  5 Sm 3.58-3.66, 4 Pm 3.58-3.62, 3 Ce 3.61-3.64

E_form (eV/atom): 0.06

***

[4]
Here is a geometry-optimized Y8Sn5Sb structure from Alexandria via LeMat-Bulk. Energies are from PBE-GGA.

Lattice parameters (Å, degrees): 8.0429 8.0429 8.0429 109.48 109.44 109.48
Last column: nearest neighbours and their distance in Å.
Atoms (fractional coordinates):
Y 0.1249 0.7502 0.0173  5 Sn 3.09-3.34, 1 Sb 3.10
Y 0.9827 0.1075 0.7328  5 Sn 3.09-3.34, 1 Sb 3.10
Y 0.7654 0.2488 0.3731  5 Sn 3.09-3.34, 1 Sb 3.35
Y 0.6269 0.3923 0.8757  5 Sn 3.09-3.34, 1 Sb 3.35
Y 0.4833 0.6077 0.2346  5 Sn 3.09-3.34, 1 Sb 3.35
Y 0.6253 0.8925 0.8751  5 Sn 3.09-3.34, 1 Sb 3.10
Y 0.2672 0.2498 0.3747  5 Sn 3.09-3.34, 1 Sb 3.10
Y 0.1243 0.7512 0.5167  5 Sn 3.09-3.34, 1 Sb 3.35
Sn 0.0011 0.3755 0.1257  8 Y 3.09-3.34
Sn 0.8743 0.8754 0.2498  8 Y 3.09-3.34
Sn 0.7502 0.6245 0.6256  8 Y 3.09-3.34
Sn 0.5000 0.0000 0.5000  8 Y 3.09-3.34
Sn 0.3744 0.1246 0.9989  8 Y 3.09-3.34
Sb 0.2500 0.5000 0.7500  8 Y 3.10-3.35

Raw formation energy (eV per atom): -0.816

***

[5]
Here is a geometry-optimized ZrBRh3 structure from Alexandria via LeMat-Bulk. Energies are from PBE-GGA.

Lattice parameters (Å, degrees): 5.0206 5.0206 7.4105 70.20 70.20 90.00
Last column: nearest neighbours and their distance in Å.
Atoms (fractional coordinates):
B 0.0000 0.0000 0.0000  4 Rh 2.12
B 0.2500 0.7500 0.5000  4 Rh 1.99
Rh 0.6265 0.8652 0.2697  2 B 1.99-2.12
Rh 0.1348 0.3735 0.7303  2 B 1.99-2.12
Rh 0.1348 0.8962 0.7303  2 B 1.99-2.12
Rh 0.1038 0.8652 0.2697  2 B 1.99-2.12
Rh 0.3398 0.3398 0.3205  2 B 2.77, 6 Rh 2.85-2.92, 2 Zr 2.86
Rh 0.6602 0.6602 0.6795  2 B 2.77, 6 Rh 2.85-2.92, 2 Zr 2.86
Zr 0.5548 0.0548 0.8904  2 B 2.61, 4 Rh 2.79-2.86
Zr 0.9452 0.4452 0.1096  2 B 2.61, 4 Rh 2.79-2.86

E_form (eV/atom): -0.20

***

[6]
Here is a geometry-optimized YCrAs2 structure from Alexandria via LeMat-Bulk. Energies are from PBE-GGA.

Lattice parameters (Å, degrees): 5.8771 5.8771 7.5718 67.16 67.16 90.00
Last column: nearest neighbours and their distance in Å.
Atoms (fractional coordinates):
Y 0.0000 0.0000 0.0000  4 As 2.82
Y 0.7500 0.2500 0.5000  4 As 2.82
Cr 0.5000 0.5000 0.0000  4 As 2.44
Cr 0.2500 0.7500 0.5000  4 As 2.44
As 0.5676 0.1250 0.2500  2 Cr 2.44
As 0.1824 0.6250 0.2500  2 Cr 2.44
As 0.3750 0.4324 0.7500  2 Cr 2.44
As 0.8750 0.8176 0.7500  2 Cr 2.44

E_form (eV/atom): -0.32
Energy above the most stable polymorph in this dataset (meV/atom): 464

***

[7]
Here is a geometry-optimized Tb3Al3Ga2Co structure from Alexandria via LeMat-Bulk. Energies are from PBE-GGA.

Lattice parameters (Å, degrees): 4.2848 6.9291 6.9291 120.00 90.00 90.00
Last column: nearest neighbours and their distance in Å.
Atoms (fractional coordinates):
Tb 0.0000 0.0000 0.4034  1 Co 2.80, 4 Ga 3.01
Tb 0.0000 0.5966 0.5966  1 Co 2.80, 4 Ga 3.01
Tb 0.0000 0.4034 0.0000  1 Co 2.80, 4 Ga 3.01
Al 0.5000 0.7727 0.0000  2 Co 2.66, 2 Al 2.73, 2 Ga 2.75
Al 0.5000 0.2273 0.2273  2 Co 2.66, 2 Al 2.73, 2 Ga 2.75
Al 0.5000 0.0000 0.7727  2 Co 2.66, 2 Al 2.73, 2 Ga 2.75
Ga 0.5000 0.3333 0.6667  3 Al 2.75, 6 Tb 3.01
Ga 0.5000 0.6667 0.3333  3 Al 2.75, 6 Tb 3.01
Co 0.0000 0.0000 0.0000  6 Al 2.66, 3 Tb 2.80

E_form (eV/atom): -0.63

***

[8]
Here is a geometry-optimized NbZnAu structure from Alexandria via LeMat-Bulk. Energies are from PBE-GGA.

Lattice parameters (Å, degrees): 3.4847 3.4847 8.6241 90.00 90.00 90.00
Last column: nearest neighbours and their distance in Å.
Atoms (fractional coordinates):
Nb 0.0000 0.5000 0.9284  4 Nb 2.76, 5 Zn 2.82-2.93, 1 Au 2.86
Nb 0.5000 0.0000 0.0716  4 Nb 2.76, 5 Zn 2.82-2.93, 1 Au 2.86
Zn 0.5000 0.0000 0.7444  5 Au 2.77-2.94, 5 Nb 2.82-2.93
Zn 0.0000 0.5000 0.2556  5 Au 2.77-2.94, 5 Nb 2.82-2.93
Au 0.0000 0.5000 0.5966  5 Zn 2.77-2.94, 1 Nb 2.86, 4 Au 2.97
Au 0.5000 0.0000 0.4034  5 Zn 2.77-2.94, 1 Nb 2.86, 4 Au 2.97

E_form (eV/atom): -0.08

***

[9]
Here is a geometry-optimized LiFeMo structure from Alexandria via LeMat-Bulk. Energies are from PBE-GGA.

Lattice parameters (Å, degrees): 4.4610 4.4610 4.4610 147.31 124.81 65.64
Last column: nearest neighbours and their distance in Å.
Atoms (fractional coordinates):
Fe 0.9962 0.9962 0.0000  5 Mo 2.46-2.74, 2 Fe 2.51, 5 Li 2.54-2.70
Li 0.3354 0.3354 0.0000  5 Mo 2.50-2.72, 2 Li 2.51, 5 Fe 2.54-2.70
Mo 0.6684 0.6684 0.0000  5 Fe 2.46-2.74, 5 Li 2.50-2.72, 2 Mo 2.51

E_form (eV/atom): 0.35
Energy above the most stable polymorph in this dataset (meV/atom): 58

***

[10]
Here is a geometry-optimized ThFe4 structure from Alexandria via LeMat-Bulk. Energies are from PBE-GGA.

Lattice parameters (Å, degrees): 4.6576 4.6576 4.6576 90.00 90.00 90.00
Last column: nearest neighbours and their distance in Å.
Atoms (fractional coordinates):
Fe 0.0000 0.0000 0.0000  12 Fe 3.29
Fe 0.5000 0.0000 0.5000  2 Th 2.33
Fe 0.0000 0.5000 0.5000  2 Th 2.33
Fe 0.5000 0.5000 0.0000  2 Th 2.33
Th 0.5000 0.5000 0.5000  6 Fe 2.33

E_form (eV/atom): 1.84

***

[11]
Here is a geometry-optimized OsRhAu structure from Alexandria via LeMat-Bulk. Energies are from PBE-GGA.

Lattice parameters (Å, degrees): 4.8695 4.8695 4.8695 146.63 132.94 58.91
Last column: nearest neighbours and their distance in Å.
Atoms (fractional coordinates):
Os 0.6761 0.6761 0.0000  5 Rh 2.70-2.99, 5 Au 2.75-2.82, 2 Os 2.80
Rh 0.3232 0.3232 0.0000  5 Os 2.70-2.99, 5 Au 2.73-2.83, 2 Rh 2.80
Au 0.0007 0.0007 0.0000  5 Rh 2.73-2.83, 5 Os 2.75-2.82, 2 Au 2.80

E_form (eV/atom): 0.41
Energy above the most stable polymorph in this dataset (meV/atom): 318

***

[12]
Here is a geometry-optimized LaBeSe3 structure from Alexandria via LeMat-Bulk. Energies are from PBE-GGA.

Lattice parameters (Å, degrees): 5.7918 5.7918 5.7918 90.00 90.00 90.00
Last column: nearest neighbours and their distance in Å.
Atoms (fractional coordinates):
Be 0.5000 0.5000 0.5000  12 Se 4.10
Se 0.0000 0.5000 0.0000  2 La 2.90
Se 0.0000 0.0000 0.5000  2 La 2.90
Se 0.5000 0.0000 0.0000  2 La 2.90
La 0.0000 0.0000 0.0000  6 Se 2.90

Raw formation energy (eV per atom): 0.283
Energy above the most stable polymorph in this dataset (meV/atom): 1204

***

What did the third record say?
Here is a geometry-optimized CePm3Sm2 structure from Alexandria via LeMat-Bulk. Energies are from PBE-GGA.

Lattice parameters (Å, degrees): 5.1443 11.4266 8.0862 115.17 108.55 90.00
Last column: nearest neighbours and their distance in Å.
Atoms (fractional coordinates):
Ce 0.1217 0.1213 0.2434  1 Ce 3.51, 7 Sm 3.57-3.64, 4 Pm 3.59-3.63
Ce 0.8783 0.8787 0.7566  1 Ce 3.51, 7 Sm 3.57-3.64, 4 Pm 3.59-3.63
Pm 0.0415 0.3721 0.0829  1 Ce 3.59, 8 Pm 3.62-3.67, 3 Sm 3.62-3.63
Pm 0.9585 0.6279 0.9171  1 Ce 3.59, 8 Pm 3.62-3.67, 3 Sm 3.62-3.63
Pm 0.7072 0.3709 0.4144  2 Sm 3.58-3.59, 8 Pm 3.61-3.68, 2 Ce 3.62
Pm 0.2928 0.6291 0.5856  2 Sm 3.58-3.59, 8 Pm 3.61-3.68, 2 Ce 3.62
Pm 0.6270 0.6268 0.2541  8 Pm 3.61-3.67, 3 Sm 3.62-3.66, 1 Ce 3.63
Pm 0.3730 0.3732 0.7459  8 Pm 3.61-3.67, 3 Sm 3.62-3.66, 1 Ce 3.63
Sm 0.5413 0.8785 0.0825  4 Sm 3.53-3.66, 4 Ce 3.57-3.59, 4 Pm 3.59-3.66
Sm 0.4587 0.1215 0.9175  4 Sm 3.53-3.66, 4 Ce 3.57-3.59, 4 Pm 3.59-3.66
Sm 0.2101 0.8767 0.4201  5 Sm 3.58-3.66, 4 Pm 3.58-3.62, 3 Ce 3.61-3.64
Sm 0.7899 0.1233 0.5799  5 Sm 3.58-3.66, 4 Pm 3.58-3.62, 3 Ce 3.61-3.64

E_form (eV/atom): 0.06

***

Number 9 is which compound?
LiFeMo